Record 1
{"formula": "CeMg5", "functional": "PBE", "state": "relaxed", "magmom_total_mub_per_fu": 1.056, "formation_enthalpy_0k_kj_per_mol_atoms": 0.85, "lattice_angstrom": [[3.3065, 0.0000, 0.0000], [0.0000, 3.3065, 0.0000], [0.0000, 0.0000, 13.2204]], "species": ["Ce", "Mg", "Mg", "Mg", "Mg", "Mg"], "fractional_positions": [[0.0000, 0.0000, 0.0000], [0.0000, 0.0000, 0.3451], [0.0000, 0.0000, 0.6549], [0.5000, 0.5000, 0.1882], [0.5000, 0.5000, 0.5000], [0.5000, 0.5000, 0.8118]]}

---

Record 2
{"formula": "BiTe2WN", "functional": "PBE", "state": "relaxed", "magmom_total_mub_per_fu": 3.972, "e_form_raw_ev_per_atom": 1.933, "e_above_lowest_polymorph_ev_per_atom": 1.696, "lattice_angstrom": [[5.8626, 0.0000, 0.0000], [0.0000, 5.8626, 0.0000], [0.0000, 0.0000, 4.1637]], "species": ["Bi", "Te", "Te", "W", "N"], "fractional_positions": [[0.0000, 0.0000, 0.0000], [0.0000, 0.5000, 0.0000], [0.5000, 0.0000, 0.0000], [0.5000, 0.5000, 0.5000], [0.0000, 0.0000, 0.5000]]}